# 1
Computed, not measured: an optimized crystal structure of LiLa2Cu at the GGA-PBE level of DFT.

Properties
Mass density = 4.93 g/cm3
Relative energy among the computed polymorphs = 0.53 eV/f.u.
Crystal system = trigonal

Unit cell a=10.074 b=10.074 c=10.074 alpha=21.22 beta=21.22 gamma=21.22
Fractional positions:
Li 0.000 0.000 0.000
La 0.237 0.237 0.237
La 0.763 0.763 0.763
Cu 0.500 0.500 0.500

# 2
Computed, not measured: an optimized crystal structure of LiLa2Cu3 at the GGA-PBE level of DFT.

Properties
Mass density = 6.12 g/cm3
Crystal system = orthorhombic

Unit cell a=8.839 b=8.517 c=5.854 alpha=73.28 beta=67.35 gamma=39.36
Fractional positions:
Li 0.167 0.167 0.833
Li 0.833 0.833 0.167
La 0.250 0.250 0.250
La 0.254 0.746 0.746
La 0.746 0.254 0.254
La 0.750 0.750 0.750
Cu 0.168 0.666 0.334
Cu 0.334 0.832 0.168
Cu 0.335 0.335 0.665
Cu 0.665 0.665 0.335
Cu 0.666 0.168 0.832
Cu 0.832 0.334 0.666

Listing energy of formation for the structures above in their given order: 0.105, -0.118 eV/atom.